A plane-wave DFT calculation with PBE was carried out for crystalline Sc3P2H at its relaxed geometry.

Results
Total magnetization in μB/cell: 0.0
Energy above the most stable polymorph in this dataset in meV per atom: 135.9
VASP energy in eV/atom: -6.61
Volume in Å³/f.u.: 103.59
Space group: No. 15

Cell: 5.1432 7.4493 6.2698 Å, 107.25 114.21 90.00°
Closest atoms and distances in Å follow each position.
Atoms (fractional coordinates):
Sc1 0.8279 0.4139 0.6564  4 P 2.56-2.57, 2 H 2.63-2.64
P1 0.3343 0.4174 0.6693  6 Sc 2.56-2.58
P2 0.6649 0.0826 0.3307  6 Sc 2.56-2.58
H1 0.0245 0.2500 0.0000  1 Sc 2.34
Sc2 0.1716 0.0861 0.3436  4 P 2.56-2.57, 2 H 2.63-2.64
Sc3 0.1721 0.5861 0.3436  4 P 2.56-2.57, 2 H 2.63-2.64
P3 0.6657 0.5826 0.3307  6 Sc 2.56-2.58
H2 0.9755 0.7500 0.0000  1 Sc 2.34
Sc4 0.4789 0.2500 0.0000  1 H 2.34, 4 P 2.58
P4 0.3351 0.9174 0.6693  6 Sc 2.56-2.58
Sc5 0.5211 0.7500 0.0000  1 H 2.34, 4 P 2.58
Sc6 0.8284 0.9139 0.6564  4 P 2.56-2.57, 2 H 2.63-2.64